Compound: PaBe5Pt
Source: Alexandria
Functional: GGA-PBE
Structure: optimized geometry

```
28
Lattice="7.890 0.000 0.000 0.000 4.379 0.000 0.000 0.000 9.677" Properties=species:S:1:pos:R:3 pbc="T T T"
Pa 1.846 1.095 0.554
Pa 2.099 3.284 5.392
Pa 5.791 1.095 4.285
Pa 6.045 3.284 9.124
Be 0.273 3.284 1.170
Be 0.477 1.095 5.054
Be 0.549 0.016 3.084
Be 0.549 2.174 3.084
Be 1.572 1.095 7.194
Be 2.374 3.284 2.355
Be 3.396 2.205 7.922
Be 3.396 4.363 7.922
Be 3.468 3.284 0.215
Be 3.672 1.095 6.009
Be 4.218 3.284 3.668
Be 4.422 1.095 9.462
Be 4.494 0.016 1.755
Be 4.494 2.174 1.755
Be 5.517 1.095 7.322
Be 6.319 3.284 2.484
Be 7.341 2.205 6.594
Be 7.341 4.363 6.594
Be 7.413 3.284 4.624
Be 7.617 1.095 8.507
Pt 1.014 3.284 8.245
Pt 2.931 1.095 3.407
Pt 4.960 3.284 6.271
Pt 6.876 1.095 1.432
```

As for the total DFT energy (no corrections): -5.21 eV per atom. The calculated formation energy is -0.3260 eV per atom.


Compound: Pa2Be16Pt
Source: Alexandria
Functional: GGA-PBE
Structure: optimized geometry

```
19
Lattice="3.926 2.267 3.839 -3.926 2.267 3.839 0.000 -4.534 3.839" Properties=species:S:1:pos:R:3 pbc="T T T"
Pa 0.000 0.000 0.000
Pa 0.000 0.000 3.582
Be -1.930 -1.114 5.622
Be 0.000 -2.234 5.547
Be -1.935 1.117 5.547
Be -1.092 -1.890 7.553
Be -2.183 -0.001 7.553
Be -1.956 -1.129 9.550
Be 0.000 0.000 6.331
Be 1.930 -1.114 5.622
Be 0.000 2.229 5.622
Be 1.092 -1.890 7.553
Be -1.091 1.891 7.553
Be 1.935 1.117 5.547
Be 2.183 -0.001 7.553
Be 1.091 1.891 7.553
Be 1.956 -1.129 9.550
Be 0.000 2.258 9.550
Pt 0.000 0.000 8.676
```

As for the total DFT energy (no corrections): -4.64 eV per atom. The calculated formation energy is -0.1798 eV per atom.


Compound: PaBePt2
Source: Alexandria
Functional: GGA-PBE
Structure: optimized geometry

```
4
Lattice="2.024 1.169 4.985 -2.024 1.169 4.985 0.000 -2.337 4.985" Properties=species:S:1:pos:R:3 pbc="T T T"
Pa 0.000 0.000 0.000
Be 0.000 0.000 7.478
Pt 0.000 0.000 3.292
Pt 0.000 0.000 11.664
```

As for the total DFT energy (no corrections): -7.19 eV per atom. The energy above the most stable polymorph in this dataset comes out at 4.24 kJ per mole of atoms. The calculated formation energy is -0.8637 eV per atom.


Compound: PaBePt2
Source: Alexandria
Functional: GGA-PBE
Structure: optimized geometry

```
8
Lattice="1.937 -9.006 0.000 1.937 9.006 0.000 0.000 0.000 3.966" Properties=species:S:1:pos:R:3 pbc="T T T"
Pa 1.937 7.052 2.974
Pa 1.937 -7.052 0.991
Be 1.937 3.262 2.974
Be 1.937 -3.262 0.991
Pt 1.937 4.494 0.991
Pt 1.937 0.980 2.974
Pt 1.937 -0.980 0.991
Pt 1.937 -4.494 2.974
```

As for the total DFT energy (no corrections): -7.23 eV per atom. The energy above the most stable polymorph in this dataset comes out at 0.00 kJ per mole of atoms. The calculated formation energy is -0.9076 eV per atom.


- total DFT energy (no corrections) of number 3 (PaBePt2)?
  -7.19 eV per atom


What did the first record say?
Compound: PaBe5Pt
Source: Alexandria
Functional: GGA-PBE
Structure: optimized geometry

```
28
Lattice="7.890 0.000 0.000 0.000 4.379 0.000 0.000 0.000 9.677" Properties=species:S:1:pos:R:3 pbc="T T T"
Pa 1.846 1.095 0.554
Pa 2.099 3.284 5.392
Pa 5.791 1.095 4.285
Pa 6.045 3.284 9.124
Be 0.273 3.284 1.170
Be 0.477 1.095 5.054
Be 0.549 0.016 3.084
Be 0.549 2.174 3.084
Be 1.572 1.095 7.194
Be 2.374 3.284 2.355
Be 3.396 2.205 7.922
Be 3.396 4.363 7.922
Be 3.468 3.284 0.215
Be 3.672 1.095 6.009
Be 4.218 3.284 3.668
Be 4.422 1.095 9.462
Be 4.494 0.016 1.755
Be 4.494 2.174 1.755
Be 5.517 1.095 7.322
Be 6.319 3.284 2.484
Be 7.341 2.205 6.594
Be 7.341 4.363 6.594
Be 7.413 3.284 4.624
Be 7.617 1.095 8.507
Pt 1.014 3.284 8.245
Pt 2.931 1.095 3.407
Pt 4.960 3.284 6.271
Pt 6.876 1.095 1.432
```

As for the total DFT energy (no corrections): -5.21 eV per atom. The calculated formation energy is -0.3260 eV per atom.